Material: PaCu2Rh3
Method: DFT, PBE
State: optimized geometry

abc: 4.897 7.511 7.511
angles: 135.78 90.00 90.00
Sites, in units of the cell vectors:
Cu (0.500, 0.220, 0.220)
Cu (0.000, 0.780, 0.780)
Cu (0.000, 0.220, 0.220)
Cu (0.500, 0.780, 0.780)
Rh (0.750, 0.903, 0.577)
Rh (0.250, 0.577, 0.903)
Rh (0.750, 0.423, 0.097)
Rh (0.750, 0.847, 0.153)
Rh (0.250, 0.097, 0.423)
Rh (0.250, 0.153, 0.847)
Pa (0.250, 0.671, 0.329)
Pa (0.750, 0.329, 0.671)

- Space group: Cmcm
- Calculated total energy: -6.9192 eV per atom